No. 1
Sc2Te3: relaxed, PBEsol.

Cell: 7.0300 7.0319 13.5768 Å, 94.83 95.01 120.01°
Last column: nearest neighbours and their distance in Å.
Sites, in units of the cell vectors:
Te (0.0429, 0.3702, 0.1296)  4 Sc 2.85-2.90
Te (0.5457, 0.2122, 0.6276)  4 Sc 2.88-2.93
Te (0.4543, 0.7878, 0.3724)  4 Sc 2.88-2.93
Te (0.6192, 0.9532, 0.8735)  4 Sc 2.85-2.91
Te (0.3808, 0.0468, 0.1265)  4 Sc 2.85-2.91
Te (0.2962, 0.2913, 0.8735)  4 Sc 2.85-2.91
Te (0.7905, 0.4612, 0.3724)  4 Sc 2.88-2.93
Te (0.9571, 0.6298, 0.8704)  4 Sc 2.85-2.90
Te (0.8724, 0.8755, 0.6277)  4 Sc 2.88-2.93
Te (0.1276, 0.1245, 0.3723)  4 Sc 2.88-2.93
Te (0.2095, 0.5388, 0.6276)  4 Sc 2.88-2.93
Te (0.7038, 0.7087, 0.1265)  4 Sc 2.85-2.91
Sc (0.8317, 0.1651, 0.4950)  6 Te 2.88-2.93
Sc (0.5000, 0.5000, 0.5000)  6 Te 2.89
Sc (0.0000, 0.0000, 0.0000)  6 Te 2.88-2.91
Sc (0.0816, 0.7491, 0.2445)  6 Te 2.85-2.89
Sc (0.6735, 0.3368, 0.0000)  6 Te 2.89-2.91
Sc (0.3265, 0.6632, 0.0000)  6 Te 2.89-2.91
Sc (0.9184, 0.2509, 0.7555)  6 Te 2.85-2.89
Sc (0.1683, 0.8349, 0.5050)  6 Te 2.88-2.93

Results
Total magnetization (μB/cell): 0.00
Space group: P-1
Formation energy from raw total energies (meV per atom): -1227

***

No. 2
Sc9Te2: relaxed, PBEsol.

Cell: 7.6643 8.5756 17.1631 Å, 90.00 90.00 116.54°
Last column: nearest neighbours and their distance in Å.
Sites, in units of the cell vectors:
Sc (0.2658, 0.5317, 0.7939)  4 Te 2.93-2.96, 4 Sc 3.16-3.27
Sc (0.2260, 0.0196, 0.0610)  7 Sc 2.94-3.27, 1 Te 3.07
Sc (0.5429, 0.5207, 0.4487)  7 Sc 2.93-3.27, 1 Te 3.06
Sc (0.8619, 0.7237, 0.9841)  8 Sc 2.93-3.22
Sc (0.2247, 0.4494, 0.3063)  4 Te 3.00-3.03, 5 Sc 3.31-3.35
Sc (0.6479, 0.8551, 0.8690)  2 Te 2.98-3.16, 6 Sc 3.05-3.27
Sc (0.3964, 0.3535, 0.6404)  2 Te 2.98-3.17, 7 Sc 3.05-3.34
Sc (0.9571, 0.3535, 0.6404)  2 Te 2.98-3.17, 7 Sc 3.05-3.34
Sc (0.7342, 0.4683, 0.2939)  4 Te 2.93-2.96, 4 Sc 3.16-3.27
Sc (0.5777, 0.1554, 0.9320)  3 Sc 2.91-3.05, 2 Te 2.95
Sc (0.3881, 0.7762, 0.0235)  8 Sc 2.94-3.20
Sc (0.4745, 0.9490, 0.2025)  4 Te 2.98-3.05, 2 Sc 3.31
Sc (0.6036, 0.6465, 0.1404)  2 Te 2.98-3.17, 7 Sc 3.05-3.34
Sc (0.2072, 0.8551, 0.8690)  2 Te 2.98-3.16, 6 Sc 3.05-3.27
Sc (0.6730, 0.3459, 0.0787)  3 Sc 2.91-3.05, 2 Te 2.94
Sc (0.9778, 0.5207, 0.4487)  7 Sc 2.93-3.27, 1 Te 3.06
Sc (0.7928, 0.1449, 0.3690)  2 Te 2.98-3.16, 6 Sc 3.05-3.27
Sc (0.0156, 0.0311, 0.7173)  4 Te 2.95, 4 Sc 3.18-3.27
Sc (0.3521, 0.1449, 0.3690)  2 Te 2.98-3.16, 6 Sc 3.05-3.27
Sc (0.1810, 0.3620, 0.0850)  2 Te 2.91, 7 Sc 3.01-3.25
Sc (0.0429, 0.6465, 0.1404)  2 Te 2.98-3.17, 7 Sc 3.05-3.34
Sc (0.2065, 0.9804, 0.5609)  7 Sc 2.94-3.27, 1 Te 3.07
Sc (0.3270, 0.6541, 0.5787)  3 Sc 2.91-3.05, 2 Te 2.94
Sc (0.4223, 0.8446, 0.4320)  3 Sc 2.91-3.05, 2 Te 2.95
Sc (0.7935, 0.0196, 0.0610)  7 Sc 2.94-3.27, 1 Te 3.07
Sc (0.5255, 0.0510, 0.7025)  4 Te 2.98-3.05, 2 Sc 3.31
Sc (0.9312, 0.8623, 0.4247)  2 Te 2.92, 7 Sc 3.01-3.25
Sc (0.9844, 0.9689, 0.2173)  4 Te 2.95, 4 Sc 3.18-3.27
Sc (0.0688, 0.1377, 0.9247)  2 Te 2.92, 7 Sc 3.01-3.25
Sc (0.4571, 0.4793, 0.9487)  7 Sc 2.93-3.27, 1 Te 3.06
Sc (0.7753, 0.5506, 0.8063)  4 Te 3.00-3.03, 5 Sc 3.31-3.35
Sc (0.6119, 0.2238, 0.5235)  8 Sc 2.94-3.20
Sc (0.1381, 0.2763, 0.4841)  8 Sc 2.93-3.22
Sc (0.0222, 0.4793, 0.9487)  7 Sc 2.93-3.27, 1 Te 3.06
Sc (0.8190, 0.6380, 0.5850)  2 Te 2.91, 7 Sc 3.01-3.25
Sc (0.7740, 0.9804, 0.5609)  7 Sc 2.94-3.27, 1 Te 3.07
Te (0.1326, 0.7585, 0.3061)  9 Sc 2.92-3.16
Te (0.8674, 0.2415, 0.8061)  9 Sc 2.92-3.16
Te (0.3811, 0.2589, 0.2036)  9 Sc 2.91-3.17
Te (0.8777, 0.2589, 0.2036)  9 Sc 2.91-3.17
Te (0.6189, 0.7411, 0.7036)  9 Sc 2.91-3.17
Te (0.3742, 0.2415, 0.8061)  9 Sc 2.92-3.16
Te (0.6258, 0.7585, 0.3061)  9 Sc 2.92-3.16
Te (0.1223, 0.7411, 0.7036)  9 Sc 2.91-3.17

Results
Total magnetization (μB/cell): 0.00
Space group: Cmc2_1
Formation energy from raw total energies (meV per atom): -484

***

No. 3
ScTe2: relaxed, PBEsol.

Cell: 3.1597 5.2068 5.2068 Å, 90.00 90.00 90.00°
Last column: nearest neighbours and their distance in Å.
Sites, in units of the cell vectors:
Sc (0.0000, 0.0000, 0.0000)  8 Te 3.05, 2 Sc 3.16
Te (0.5000, 0.5000, 0.0000)  4 Sc 3.05, 2 Te 3.16
Te (0.5000, 0.0000, 0.5000)  4 Sc 3.05, 2 Te 3.16

Results
Total magnetization (μB/cell): 0.00
Space group: P4/mmm
Formation energy from raw total energies (meV per atom): -577